Computed, not measured: a relaxed structure of BeCu5 at the PBEsol level of DFT.

extended XYZ file:
```
6
Lattice="-1.9692 -1.1728 -2.6693 -2.5905 -0.7211 2.2280 -0.9599 5.4296 0.6413" Properties=species:S:1:pos:R:3 pbc="T T T"
Be -0.9846 -0.5864 -1.3346
Cu -2.6058 2.9036 0.6467
Cu -0.6342 1.5795 -0.2261
Cu -1.2953 -0.3606 1.1140
Cu -2.2950 2.6773 -1.8019
Cu -2.9139 0.6321 -0.4467
```

Output
E above lowest polymorph = 0.0180 eV/atom
ΔH_f (0 K) = -14 meV per atom

=====

Computed, not measured: a relaxed structure of ErSnAu at the PBEsol level of DFT.

extended XYZ file:
```
6
Lattice="4.6095 0.0000 0.0000 -2.3048 3.9920 0.0000 0.0000 0.0000 7.2611" Properties=species:S:1:pos:R:3 pbc="T T T"
Au 2.3048 1.3307 5.0034
Au 0.0000 2.6613 1.3729
Sn 0.0000 2.6613 5.7505
Sn 2.3048 1.3307 2.1199
Er 0.0000 0.0000 0.1378
Er 0.0000 0.0000 3.7683
```

Output
ΔH_f (0 K) = -855 meV per atom

=====

Computed, not measured: a relaxed structure of Cs3HPb at the PBEsol level of DFT.

extended XYZ file:
```
5
Lattice="5.9709 0.0000 0.0000 0.0000 5.9709 0.0000 0.0000 0.0000 5.9709" Properties=species:S:1:pos:R:3 pbc="T T T"
Pb 2.9855 2.9855 2.9855
Cs 0.0000 2.9855 0.0000
Cs 0.0000 0.0000 2.9855
Cs 2.9855 0.0000 0.0000
H 0.0000 0.0000 0.0000
```

=====

Computed, not measured: a relaxed structure of YSbRh2 at the PBEsol level of DFT.

extended XYZ file:
```
4
Lattice="4.6897 0.0000 0.0000 2.3449 4.0614 0.0000 2.3449 1.3538 3.8291" Properties=species:S:1:pos:R:3 pbc="T T T"
Rh 0.0000 0.0000 0.0000
Rh 7.0346 4.0614 2.8718
Sb 4.6897 2.7076 1.9146
Y 2.3449 1.3538 0.9573
```

Output
E_form (uncorrected) = -1.17 eV per formula unit

=====

We obtain uncorrected energy values of -25.752; -15.675; -10.361; -28.823 eV per formula unit for the records listed above, in that order.
We obtain N(E_F) values of 0.234; 0.117; 0.487; 1.433 states/eV per atom for the records listed above, in that order.